Record 1
Material: SrTmHg
Method: DFT, GGA-PBE
State: optimized geometry

```
data_SrTmHg
_chemical_formula_sum 'Sr1 Tm1 Hg1'
_cell_length_a 7.205
_cell_length_b 7.205
_cell_length_c 7.205
_cell_angle_alpha 149.11
_cell_angle_beta 149.11
_cell_angle_gamma 44.25
_symmetry_space_group_name_H-M 'P 1'
_symmetry_Int_Tables_number 1
loop_
_symmetry_equiv_pos_as_xyz
'x,y,z'
loop_
_atom_site_label
_atom_site_fract_x
_atom_site_fract_y
_atom_site_fract_z
_atom_site_occupancy
Sr1 0.000 0.000 0.000 1
Tm1 0.277 0.277 0.000 1
Hg1 0.670 0.670 0.000 1
```

- total energy (eV/atom) = -2.412
- ΔE to the lowest computed polymorph (eV/f.u.) = 0.00
- E_form (eV/atom) = -0.26

Record 2
Material: Ca4ScTc
Method: DFT, GGA-PBE
State: optimized geometry

```
data_Ca4ScTc
_chemical_formula_sum 'Ca4 Sc1 Tc1'
_cell_length_a 6.442
_cell_length_b 6.442
_cell_length_c 6.442
_cell_angle_alpha 60.00
_cell_angle_beta 60.00
_cell_angle_gamma 60.00
_symmetry_space_group_name_H-M 'P 1'
_symmetry_Int_Tables_number 1
loop_
_symmetry_equiv_pos_as_xyz
'x,y,z'
loop_
_atom_site_label
_atom_site_fract_x
_atom_site_fract_y
_atom_site_fract_z
_atom_site_occupancy
Ca1 0.376 0.376 0.376 1
Ca2 0.376 0.376 0.873 1
Ca3 0.376 0.873 0.376 1
Ca4 0.873 0.376 0.376 1
Sc1 0.000 0.000 0.000 1
Tc1 0.750 0.750 0.750 1
```

- total energy (eV/atom) = -3.142
- E_form (eV/atom) = 0.98

Record 3
Material: MgTi2AgPt
Method: DFT, GGA-PBE
State: optimized geometry

```
data_MgTi2AgPt
_chemical_formula_sum 'Mg1 Ti2 Ag1 Pt1'
_cell_length_a 4.832
_cell_length_b 4.832
_cell_length_c 4.715
_cell_angle_alpha 90.00
_cell_angle_beta 90.00
_cell_angle_gamma 90.00
_symmetry_space_group_name_H-M 'P 1'
_symmetry_Int_Tables_number 1
loop_
_symmetry_equiv_pos_as_xyz
'x,y,z'
loop_
_atom_site_label
_atom_site_fract_x
_atom_site_fract_y
_atom_site_fract_z
_atom_site_occupancy
Mg1 0.000 0.000 0.000 1
Ti1 0.000 0.500 0.500 1
Ti2 0.500 0.000 0.500 1
Ag1 0.000 0.000 0.500 1
Pt1 0.500 0.500 0.000 1
```

- total energy (eV/atom) = -4.413
- E_form (eV/atom) = 0.84